# 1
RbSrTa | GGA-PBE | optimized geometry

Structure (POSCAR):
```
RbSrTa
1.0
-5.3722 -11.5930 -2.7367
2.6028 -0.4587 -3.1661
6.8549 -4.6665 6.3113
Sr Rb Ta
4 4 4
direct
0.7830 0.2500 0.4136
0.7170 0.7500 0.9136
0.2170 0.7500 0.5864
0.2830 0.2500 0.0864
0.0141 0.2500 0.8242
0.4859 0.7500 0.3242
0.9859 0.7500 0.1758
0.5141 0.2500 0.6758
0.0448 0.2500 0.4523
0.4552 0.7500 0.9523
0.9552 0.7500 0.5477
0.5448 0.2500 0.0477
```

Total magnetization = 0.00 μB per cell
E above lowest polymorph = 515 meV per atom

# 2
MnRu3Au | GGA-PBE | optimized geometry

Structure (POSCAR):
```
MnRu3Au
1.0
-2.4958 0.8944 -3.5222
-2.1639 -3.7985 0.5688
-2.9194 2.0509 2.5895
Ru Mn Au
3 1 1
direct
0.0000 0.5000 0.0000
0.0000 0.0000 0.5000
0.5000 0.0000 0.0000
0.0000 0.0000 0.0000
0.5000 0.5000 0.5000
```

Total magnetization = 2.10 μB per cell
E above lowest polymorph = 0 meV per atom

# 3
Li2InIr | GGA-PBE | optimized geometry

Structure (POSCAR):
```
Li2InIr
1.0
-4.3211 -1.5626 -0.2912
1.0220 -2.7883 -0.2036
-0.0546 -0.7185 4.6662
In Ir Li
1 1 2
direct
0.5000 0.2500 0.2500
0.5000 0.7500 0.7500
0.0000 0.9942 0.9649
0.0000 0.5058 0.5351
```

Total magnetization = 0.00 μB per cell

# 4
Cs2LiTaI6 | GGA-PBE | optimized geometry

Structure (POSCAR):
```
Cs2LiTaI6
1.0
8.3277 0.0000 0.0000
0.0000 8.3277 0.0000
4.1639 4.1639 5.8820
Cs I Li Ta
2 6 1 1
direct
0.7500 0.2500 0.5000
0.2500 0.7500 0.5000
0.2427 0.2427 0.5146
0.7573 0.7573 0.4854
0.2424 0.2424 0.0000
0.7576 0.7576 0.0000
0.7576 0.2424 0.0000
0.2424 0.7576 0.0000
0.5000 0.5000 0.0000
0.0000 0.0000 0.0000
```

Total magnetization = 2.00 μB per cell
Formation energy without anion corrections = -919 meV per atom

| no. | calculated total energy (eV per atom) |
| --- | --- |
| 1 | -3.860 |
| 2 | -6.823 |
| 3 | -4.033 |
| 4 | -3.397 |